Entry 1:
Here is a relaxed ErHg2Br4 crystal from Alexandria. Energies are from PBE.

Lattice parameters (Å, degrees): 5.5389 5.5389 17.4226 90.00 90.00 90.00
Closest atoms and distances in Å follow each position.
Atoms (fractional coordinates):
Er1 0.0000 0.0000 0.0000  6 Br 2.73-2.77
Er2 0.5000 0.5000 0.5000  6 Br 2.73-2.77
Hg1 0.0000 0.0000 0.3413  1 Br 3.21
Hg2 0.0000 0.0000 0.6587  1 Br 3.21
Hg3 0.5000 0.5000 0.1587  1 Br 3.21
Hg4 0.5000 0.5000 0.8413  1 Br 3.21
Br1 0.0000 0.0000 0.1570  1 Er 2.73
Br2 0.0000 0.0000 0.8430  1 Er 2.73
Br3 0.0000 0.5000 0.0000  2 Er 2.77
Br4 0.0000 0.5000 0.5000  2 Er 2.77
Br5 0.5000 0.0000 0.0000  2 Er 2.77
Br6 0.5000 0.0000 0.5000  2 Er 2.77
Br7 0.5000 0.5000 0.3430  1 Er 2.73
Br8 0.5000 0.5000 0.6570  1 Er 2.73

## Properties
magnetization = 0.0 μB per formula unit
calculated total energy = -2.630 eV per atom
space group = No. 139
formation energy from raw total energies = -0.936 eV/atom


Entry 2:
Here is a relaxed Sb2IrRu crystal from Alexandria. Energies are from PBE.

Lattice parameters (Å, degrees): 6.7018 6.7018 6.7018 90.00 90.00 90.00
Closest atoms and distances in Å follow each position.
Atoms (fractional coordinates):
Sb1 0.0000 0.0000 0.0000  4 Sb 2.90, 4 Ir 2.90
Sb2 0.0000 0.5000 0.5000  4 Sb 2.90, 4 Ir 2.90
Sb3 0.2500 0.2500 0.2500  4 Sb 2.90, 4 Ru 2.90
Sb4 0.2500 0.7500 0.7500  4 Sb 2.90, 4 Ru 2.90
Sb5 0.5000 0.0000 0.5000  4 Sb 2.90, 4 Ir 2.90
Sb6 0.5000 0.5000 0.0000  4 Sb 2.90, 4 Ir 2.90
Sb7 0.7500 0.2500 0.7500  4 Sb 2.90, 4 Ru 2.90
Sb8 0.7500 0.7500 0.2500  4 Sb 2.90, 4 Ru 2.90
Ir1 0.2500 0.2500 0.7500  4 Sb 2.90, 4 Ru 2.90
Ir2 0.2500 0.7500 0.2500  4 Sb 2.90, 4 Ru 2.90
Ir3 0.7500 0.2500 0.2500  4 Sb 2.90, 4 Ru 2.90
Ir4 0.7500 0.7500 0.7500  4 Sb 2.90, 4 Ru 2.90
Ru1 0.0000 0.0000 0.5000  4 Sb 2.90, 4 Ir 2.90
Ru2 0.0000 0.5000 0.0000  4 Sb 2.90, 4 Ir 2.90
Ru3 0.5000 0.0000 0.0000  4 Sb 2.90, 4 Ir 2.90
Ru4 0.5000 0.5000 0.5000  4 Sb 2.90, 4 Ir 2.90

## Properties
magnetization = 0.0 μB per formula unit
calculated total energy = -5.934 eV per atom
space group = No. 216
formation energy from raw total energies = 0.661 eV/atom


Entry 3:
Here is a relaxed AcNd2DyTm4 crystal from Alexandria. Energies are from PBE.

Lattice parameters (Å, degrees): 9.6105 9.6105 9.6105 138.05 103.40 91.41
Closest atoms and distances in Å follow each position.
Atoms (fractional coordinates):
Ac1 0.0000 0.0000 0.0000  2 Nd 3.44, 6 Tm 3.47-3.48
Ac2 0.5000 0.0000 0.5000  2 Nd 3.44, 6 Tm 3.47-3.48
Nd1 0.0000 0.5000 0.5000  6 Tm 3.25-3.40, 2 Ac 3.44
Nd2 0.5000 0.0000 0.0000  6 Tm 3.42-3.49, 2 Nd 3.44
Nd3 0.5000 0.5000 0.0000  6 Tm 3.25-3.40, 2 Ac 3.44
Nd4 0.5000 0.5000 0.5000  6 Tm 3.42-3.49, 2 Nd 3.44
Dy1 0.0000 0.0000 0.5000  6 Tm 3.30-3.39, 2 Dy 3.44
Dy2 0.0000 0.5000 0.0000  6 Tm 3.30-3.39, 2 Dy 3.44
Tm1 0.2369 0.7418 0.4952  3 Nd 3.25-3.49, 2 Dy 3.39, 2 Tm 3.45, 1 Ac 3.47
Tm2 0.2455 0.2582 0.5126  2 Tm 3.27-3.61, 1 Dy 3.30, 3 Nd 3.40-3.42, 2 Ac 3.48
Tm3 0.2455 0.7329 0.9874  2 Tm 3.27-3.61, 1 Dy 3.30, 3 Nd 3.40-3.42, 2 Ac 3.48
Tm4 0.2534 0.2582 0.9952  3 Nd 3.25-3.49, 2 Dy 3.39, 2 Tm 3.45, 1 Ac 3.47
Tm5 0.7466 0.7418 0.0048  3 Nd 3.25-3.49, 2 Dy 3.39, 2 Tm 3.45, 1 Ac 3.47
Tm6 0.7545 0.2671 0.0126  2 Tm 3.27-3.61, 1 Dy 3.30, 3 Nd 3.40-3.42, 2 Ac 3.48
Tm7 0.7545 0.7418 0.4874  2 Tm 3.27-3.61, 1 Dy 3.30, 3 Nd 3.40-3.42, 2 Ac 3.48
Tm8 0.7631 0.2582 0.5048  3 Nd 3.25-3.49, 2 Dy 3.39, 2 Tm 3.45, 1 Ac 3.47

## Properties
energy of formation from the pure elements = 42 kJ per mole of atoms
magnetization = 0.0 μB per formula unit
calculated total energy = -4.080 eV per atom
space group = No. 74


Entry 4:
Here is a relaxed Na2YSnHg crystal from Alexandria. Energies are from PBE.

Lattice parameters (Å, degrees): 5.7213 5.7213 5.9047 90.00 90.00 90.00
Closest atoms and distances in Å follow each position.
Atoms (fractional coordinates):
Na1 0.0000 0.5000 0.0000  2 Sn 2.86
Na2 0.5000 0.0000 0.0000  2 Sn 2.86
Y1 0.0000 0.0000 0.5000  2 Sn 2.95
Sn1 0.0000 0.0000 0.0000  4 Na 2.86, 2 Y 2.95
Hg1 0.5000 0.5000 0.5000  4 Y 4.05, 8 Na 4.11

## Properties
energy of formation from the pure elements = 10 kJ per mole of atoms
magnetization = 0.0 μB per formula unit
calculated total energy = -2.581 eV per atom
space group = No. 123


Entry 5:
Here is a relaxed Zr4TeP crystal from Alexandria. Energies are from PBE.

Lattice parameters (Å, degrees): 5.7470 5.7470 5.7470 60.00 60.00 60.00
Closest atoms and distances in Å follow each position.
Atoms (fractional coordinates):
Zr1 0.1248 0.1248 0.1248  6 Zr 2.87-2.88
Zr2 0.1248 0.1248 0.6257  6 Zr 2.87-2.88
Zr3 0.1248 0.6257 0.1248  6 Zr 2.87-2.88
Zr4 0.6257 0.1248 0.1248  6 Zr 2.87-2.88
Te1 0.5000 0.5000 0.5000  12 Zr 3.37, 4 P 3.52
P1 0.7500 0.7500 0.7500  12 Zr 3.37, 4 Te 3.52

## Properties
magnetization = 0.0 μB per formula unit
calculated total energy = -6.941 eV per atom
space group = No. 216
formation energy from raw total energies = 0.183 eV/atom


Entry 6:
Here is a relaxed LiNi3Cl crystal from Alexandria. Energies are from PBE.

Lattice parameters (Å, degrees): 4.1333 4.1333 4.1333 90.00 90.00 90.00
Closest atoms and distances in Å follow each position.
Atoms (fractional coordinates):
Li1 0.0000 0.0000 0.0000  6 Ni 2.07
Ni1 0.0000 0.0000 0.5000  2 Li 2.07
Ni2 0.0000 0.5000 0.0000  2 Li 2.07
Ni3 0.5000 0.0000 0.0000  2 Li 2.07
Cl1 0.5000 0.5000 0.5000  12 Ni 2.92

## Properties
magnetization = 1.9 μB per formula unit
calculated total energy = -3.165 eV per atom
space group = No. 221
formation energy from raw total energies = 1.056 eV/atom


Entry 7:
Here is a relaxed In3ReSn crystal from Alexandria. Energies are from PBE.

Lattice parameters (Å, degrees): 5.5743 5.5743 5.5743 90.00 90.00 90.00
Closest atoms and distances in Å follow each position.
Atoms (fractional coordinates):
In1 0.0000 0.0000 0.5000  2 Sn 2.79
In2 0.0000 0.5000 0.0000  2 Sn 2.79
In3 0.5000 0.0000 0.0000  2 Sn 2.79
Re1 0.5000 0.5000 0.5000  12 In 3.94
Sn1 0.0000 0.0000 0.0000  6 In 2.79

## Properties
energy of formation from the pure elements = 155 kJ per mole of atoms
magnetization = 3.9 μB per formula unit
calculated total energy = -3.324 eV per atom
space group = No. 221


Entry 8:
Here is a relaxed AcLuAg4 crystal from Alexandria. Energies are from PBE.

Lattice parameters (Å, degrees): 5.8341 5.8341 5.8341 60.00 60.00 60.00
Closest atoms and distances in Å follow each position.
Atoms (fractional coordinates):
Ac1 0.0000 0.0000 0.0000  12 Ag 3.42, 4 Lu 3.57
Lu1 0.7500 0.7500 0.7500  12 Ag 3.42, 4 Ac 3.57
Ag1 0.3761 0.3761 0.3761  6 Ag 2.89-2.94
Ag2 0.3761 0.3761 0.8716  6 Ag 2.89-2.94
Ag3 0.3761 0.8716 0.3761  6 Ag 2.89-2.94
Ag4 0.8716 0.3761 0.3761  6 Ag 2.89-2.94

## Properties
energy of formation from the pure elements = -14 kJ per mole of atoms
magnetization = 0.0 μB per formula unit
calculated total energy = -3.479 eV per atom
space group = No. 216